Zn2GeRh2 | PBE | relaxed

Calculated values
* crystal system: tetragonal
* volume: 155.1 Å³ per cell
* E_tot: -47.43 eV/cell
* SG: No. 127
* ΔH_f (0 K): -370 meV/atom

a = 6.313 Å, b = 6.313 Å, c = 3.890 Å
α = 90.00°, β = 90.00°, γ = 90.00°
Fractional positions:
Zn: 0.148 0.352 0.000
Zn: 0.352 0.852 0.000
Zn: 0.648 0.148 0.000
Zn: 0.852 0.648 0.000
Ge: 0.000 0.000 0.500
Ge: 0.500 0.500 0.500
Rh: 0.155 0.655 0.500
Rh: 0.345 0.155 0.500
Rh: 0.655 0.845 0.500
Rh: 0.845 0.345 0.500

Rb4MnBr6 | PBE | relaxed

Calculated values
* crystal system: tetragonal
* volume: 857.2 Å³ per cell
* E_form (uncorrected): -1.477 eV/atom
* E_tot: -78.65 eV/cell
* SG: No. 128

a = 9.388 Å, b = 9.388 Å, c = 9.726 Å
α = 90.00°, β = 90.00°, γ = 90.00°
Fractional positions:
Rb: 0.172 0.328 0.250
Rb: 0.172 0.328 0.750
Rb: 0.328 0.828 0.250
Rb: 0.328 0.828 0.750
Rb: 0.672 0.172 0.250
Rb: 0.672 0.172 0.750
Rb: 0.828 0.672 0.250
Rb: 0.828 0.672 0.750
Mn: 0.000 0.000 0.000
Mn: 0.500 0.500 0.500
Br: 0.000 0.000 0.272
Br: 0.000 0.000 0.728
Br: 0.089 0.713 0.000
Br: 0.213 0.589 0.500
Br: 0.287 0.089 0.000
Br: 0.411 0.213 0.500
Br: 0.500 0.500 0.228
Br: 0.500 0.500 0.772
Br: 0.589 0.787 0.500
Br: 0.713 0.911 0.000
Br: 0.787 0.411 0.500
Br: 0.911 0.287 0.000

RbBe2Co | PBE | relaxed

Calculated values
* crystal system: cubic
* volume: 71.1 Å³ per cell
* E_tot: -9.10 eV/cell
* SG: No. 225
* ΔH_f (0 K): 1608 meV/atom

a = 4.651 Å, b = 4.651 Å, c = 4.651 Å
α = 60.00°, β = 60.00°, γ = 60.00°
Fractional positions:
Rb: 0.000 0.000 0.000
Be: 0.250 0.250 0.250
Be: 0.750 0.750 0.750
Co: 0.500 0.500 0.500

La3Cu5Se12 | PBE | relaxed

Calculated values
* crystal system: cubic
* volume: 1961.0 Å³ per cell
* E_form (uncorrected): -0.683 eV/atom
* E_tot: -362.93 eV/cell
* SG: No. 230

a = 13.657 Å, b = 13.657 Å, c = 13.657 Å
α = 109.47°, β = 109.47°, γ = 109.47°
Fractional positions:
La: 0.125 0.250 0.375
La: 0.125 0.375 0.750
La: 0.250 0.375 0.125
La: 0.250 0.875 0.625
La: 0.375 0.125 0.250
La: 0.375 0.750 0.125
La: 0.625 0.250 0.875
La: 0.625 0.875 0.750
La: 0.750 0.125 0.375
La: 0.750 0.625 0.875
La: 0.875 0.625 0.250
La: 0.875 0.750 0.625
Cu: 0.000 0.000 0.000
Cu: 0.000 0.000 0.500
Cu: 0.000 0.500 0.000
Cu: 0.000 0.500 0.500
Cu: 0.125 0.750 0.875
Cu: 0.125 0.875 0.250
Cu: 0.250 0.125 0.875
Cu: 0.250 0.625 0.375
Cu: 0.375 0.250 0.625
Cu: 0.375 0.625 0.750
Cu: 0.500 0.000 0.000
Cu: 0.500 0.000 0.500
Cu: 0.500 0.500 0.000
Cu: 0.500 0.500 0.500
Cu: 0.625 0.375 0.250
Cu: 0.625 0.750 0.375
Cu: 0.750 0.375 0.625
Cu: 0.750 0.875 0.125
Cu: 0.875 0.125 0.750
Cu: 0.875 0.250 0.125
Se: 0.026 0.202 0.117
Se: 0.026 0.324 0.909
Se: 0.085 0.702 0.676
Se: 0.085 0.883 0.409
Se: 0.091 0.617 0.415
Se: 0.091 0.974 0.676
Se: 0.117 0.026 0.202
Se: 0.117 0.591 0.915
Se: 0.176 0.202 0.585
Se: 0.176 0.474 0.591
Se: 0.202 0.117 0.026
Se: 0.202 0.585 0.176
Se: 0.298 0.324 0.915
Se: 0.298 0.474 0.383
Se: 0.324 0.909 0.026
Se: 0.324 0.915 0.298
Se: 0.383 0.298 0.474
Se: 0.383 0.585 0.909
Se: 0.409 0.085 0.883
Se: 0.409 0.824 0.526
Se: 0.415 0.091 0.617
Se: 0.415 0.824 0.798
Se: 0.474 0.383 0.298
Se: 0.474 0.591 0.176
Se: 0.526 0.409 0.824
Se: 0.526 0.617 0.702
Se: 0.585 0.176 0.202
Se: 0.585 0.909 0.383
Se: 0.591 0.176 0.474
Se: 0.591 0.915 0.117
Se: 0.617 0.415 0.091
Se: 0.617 0.702 0.526
Se: 0.676 0.085 0.702
Se: 0.676 0.091 0.974
Se: 0.702 0.526 0.617
Se: 0.702 0.676 0.085
Se: 0.798 0.415 0.824
Se: 0.798 0.883 0.974
Se: 0.824 0.526 0.409
Se: 0.824 0.798 0.415
Se: 0.883 0.409 0.085
Se: 0.883 0.974 0.798
Se: 0.909 0.026 0.324
Se: 0.909 0.383 0.585
Se: 0.915 0.117 0.591
Se: 0.915 0.298 0.324
Se: 0.974 0.676 0.091
Se: 0.974 0.798 0.883

TbNdZnAg | PBE | relaxed

Calculated values
* crystal system: cubic
* volume: 99.3 Å³ per cell
* E_tot: -14.69 eV/cell
* SG: No. 216
* ΔH_f (0 K): -291 meV/atom

a = 5.198 Å, b = 5.198 Å, c = 5.198 Å
α = 60.00°, β = 60.00°, γ = 60.00°
Fractional positions:
Tb: 0.000 0.000 0.000
Nd: 0.500 0.500 0.500
Zn: 0.750 0.750 0.750
Ag: 0.250 0.250 0.250

Pr6ZnCo2I3 | PBE | relaxed

Calculated values
* crystal system: monoclinic
* volume: 373.1 Å³ per cell
* E_form (uncorrected): -0.569 eV/atom
* E_tot: -55.64 eV/cell
* SG: No. 12

a = 7.268 Å, b = 7.268 Å, c = 8.503 Å
α = 98.19°, β = 98.19°, γ = 119.95°
Fractional positions:
Pr: 0.075 0.435 0.811
Pr: 0.202 0.202 0.186
Pr: 0.435 0.075 0.811
Pr: 0.565 0.925 0.189
Pr: 0.798 0.798 0.814
Pr: 0.925 0.565 0.189
Zn: 0.500 0.500 0.000
Co: 0.168 0.832 0.000
Co: 0.832 0.168 0.000
I: 0.000 0.000 0.500
I: 0.337 0.663 0.500
I: 0.663 0.337 0.500

NbHO2 | PBE | relaxed

Calculated values
* crystal system: cubic
* volume: 32.8 Å³ per cell
* E_tot: -27.73 eV/cell
* SG: No. 225

a = 3.592 Å, b = 3.592 Å, c = 3.592 Å
α = 60.00°, β = 60.00°, γ = 60.00°
Fractional positions:
Nb: 0.000 0.000 0.000
H: 0.500 0.500 0.500
O: 0.250 0.250 0.250
O: 0.750 0.750 0.750

Ce6Se5Cl | PBE | relaxed

Calculated values
* crystal system: monoclinic
* volume: 308.0 Å³ per cell
* E_form (uncorrected): -1.747 eV/atom
* E_tot: -75.83 eV/cell
* SG: No. 12

a = 7.227 Å, b = 7.227 Å, c = 7.228 Å
α = 99.61°, β = 99.61°, γ = 120.05°
Fractional positions:
Ce: 0.083 0.415 0.749
Ce: 0.249 0.249 0.249
Ce: 0.415 0.083 0.749
Ce: 0.585 0.917 0.251
Ce: 0.751 0.751 0.751
Ce: 0.917 0.585 0.251
Se: 0.168 0.832 0.000
Se: 0.334 0.666 0.500
Se: 0.500 0.500 0.000
Se: 0.666 0.334 0.500
Se: 0.832 0.168 0.000
Cl: 0.000 0.000 0.500

CaMg2 | PBE | relaxed

Calculated values
* crystal system: monoclinic
* volume: 343.2 Å³ per cell
* E_tot: -21.11 eV/cell
* SG: No. 12
* ΔH_f (0 K): -29 meV/atom

a = 15.100 Å, b = 15.100 Å, c = 4.829 Å
α = 98.76°, β = 98.76°, γ = 18.39°
Fractional positions:
Ca: 0.045 0.045 0.295
Ca: 0.205 0.205 0.455
Ca: 0.795 0.795 0.545
Ca: 0.955 0.955 0.705
Mg: 0.123 0.123 0.873
Mg: 0.296 0.296 0.046
Mg: 0.373 0.373 0.622
Mg: 0.454 0.454 0.204
Mg: 0.546 0.546 0.796
Mg: 0.627 0.627 0.378
Mg: 0.704 0.704 0.954
Mg: 0.877 0.877 0.127

Mn2CoBr | PBE | relaxed

Calculated values
* crystal system: tetragonal
* volume: 66.2 Å³ per cell
* E_form (uncorrected): 0.276 eV/atom
* E_tot: -26.02 eV/cell
* SG: No. 123

a = 3.120 Å, b = 3.120 Å, c = 6.805 Å
α = 90.00°, β = 90.00°, γ = 90.00°
Fractional positions:
Mn: 0.000 0.000 0.200
Mn: 0.000 0.000 0.800
Co: 0.500 0.500 0.000
Br: 0.500 0.500 0.500

Ca4Ce3NbN8 | PBE | relaxed

Calculated values
* crystal system: trigonal
* volume: 238.2 Å³ per cell
* E_form (uncorrected): -1.255 eV/atom
* E_tot: -122.57 eV/cell
* SG: No. 166

a = 6.945 Å, b = 6.945 Å, c = 6.945 Å
α = 60.25°, β = 60.25°, γ = 60.25°
Fractional positions:
Ca: 0.000 0.000 0.000
Ca: 0.000 0.500 0.500
Ca: 0.500 0.000 0.500
Ca: 0.500 0.500 0.000
Ce: 0.000 0.000 0.500
Ce: 0.000 0.500 0.000
Ce: 0.500 0.000 0.000
Nb: 0.500 0.500 0.500
N: 0.241 0.241 0.241
N: 0.261 0.727 0.727
N: 0.273 0.273 0.739
N: 0.273 0.739 0.273
N: 0.727 0.261 0.727
N: 0.727 0.727 0.261
N: 0.739 0.273 0.273
N: 0.759 0.759 0.759

CdIn2Ga | PBE | relaxed

Calculated values
* crystal system: tetragonal
* volume: 97.8 Å³ per cell
* E_tot: -9.24 eV/cell
* SG: No. 123
* ΔH_f (0 K): 46 meV/atom

a = 3.656 Å, b = 3.656 Å, c = 7.321 Å
α = 90.00°, β = 90.00°, γ = 90.00°
Fractional positions:
Cd: 0.000 0.000 0.000
In: 0.500 0.500 0.256
In: 0.500 0.500 0.744
Ga: 0.000 0.000 0.500

Magnetization: 0.00; 10.00; 0.43; 0.00; 0.00; 0.00; 0.00; 4.91; 0.00; 9.61; 0.00; 0.00 (Bohr magnetons per cell)